Here is an optimized crystal structure of SmDyCuPt from Alexandria via LeMat-Bulk. Energies are from PBE-GGA.

Total DFT energy (no corrections) (eV/atom): -5.58
DOS(E_F) (states/eV/cell): 2.19
Size of the total moment (μB per formula unit): 0.0
Volume (A^3/atom): 21.828
ΔH_f (0 K) (eV per formula unit): -2.88

a = 4.980 Å, b = 4.980 Å, c = 4.980 Å
α = 60.00°, β = 60.00°, γ = 60.00°
Atoms (fractional coordinates):
Dy1 0.000 0.000 0.000
Cu1 0.250 0.250 0.250
Sm1 0.500 0.500 0.500
Pt1 0.750 0.750 0.750